InSiSbI2 | Alexandria | PBE-GGA | relaxed; formation energy (no corrections) = 0.77 eV/atom; symmetry = P4/mmm, No. 123
1.0
5.814 0.000 0.000
0.000 5.814 0.000
0.000 0.000 5.826
In Si Sb I
1 1 1 2
Direct
0.000 0.000 0.000
0.500 0.500 0.500
0.000 0.000 0.500
0.000 0.500 0.000
0.500 0.000 0.000

Pa2Se3O2 | Alexandria | PBE-GGA | relaxed; formation energy (no corrections) = -2.12 eV/atom; symmetry = Pbcm, No. 57
1.0
6.434 0.000 0.000
0.000 6.533 0.000
0.000 0.000 12.727
Pa Se O
8 12 8
Direct
0.138 0.250 0.000
0.138 0.250 0.500
0.274 0.608 0.250
0.274 0.892 0.750
0.726 0.108 0.250
0.726 0.392 0.750
0.862 0.750 0.000
0.862 0.750 0.500
0.156 0.206 0.250
0.156 0.294 0.750
0.442 0.591 0.608
0.442 0.591 0.892
0.442 0.909 0.108
0.442 0.909 0.392
0.558 0.091 0.608
0.558 0.091 0.892
0.558 0.409 0.108
0.558 0.409 0.392
0.844 0.706 0.250
0.844 0.794 0.750
0.098 0.562 0.079
0.098 0.562 0.421
0.098 0.938 0.579
0.098 0.938 0.921
0.902 0.062 0.079
0.902 0.062 0.421
0.902 0.438 0.579
0.902 0.438 0.921

P2S | Alexandria | PBE-GGA | relaxed; formation energy (no corrections) = 0.15 eV/atom; symmetry = P1, No. 1
1.0
3.461 0.000 0.000
1.726 3.003 0.000
1.717 -0.892 6.659
P S
2 1
Direct
0.000 0.000 0.000
0.220 0.385 0.176
0.033 0.469 0.463

ScBeIn2 | Alexandria | PBE-GGA | relaxed; symmetry = Pm, No. 6; E_form = 21 meV/atom
1.0
3.239 0.000 0.000
0.000 4.424 0.000
-0.005 0.000 5.766
Sc Be In
1 1 2
Direct
0.000 0.000 0.000
0.499 0.500 0.210
0.500 0.500 0.768
0.502 0.000 0.448

Li3Zr3ScS8 | Alexandria | PBE-GGA | relaxed; formation energy (no corrections) = -1.59 eV/atom; symmetry = R-3m, No. 166
1.0
3.646 2.105 6.230
-3.646 2.105 6.230
0.000 -4.211 6.230
Li Zr Sc S
3 3 1 8
Direct
0.000 0.500 0.500
0.500 0.000 0.500
0.500 0.500 0.000
0.000 0.000 0.500
0.000 0.500 0.000
0.500 0.000 0.000
0.500 0.500 0.500
0.249 0.747 0.747
0.250 0.250 0.250
0.253 0.253 0.751
0.253 0.751 0.253
0.747 0.249 0.747
0.747 0.747 0.249
0.750 0.750 0.750
0.751 0.253 0.253

K2In2GeO6 | Alexandria | PBE-GGA | relaxed; formation energy (no corrections) = -1.62 eV/atom; symmetry = C2/m, No. 12
1.0
2.777 -4.760 0.000
2.777 4.760 0.000
-1.879 0.000 6.316
K In Ge O
2 2 1 6
Direct
0.169 0.831 0.000
0.831 0.169 0.000
0.335 0.665 0.500
0.665 0.335 0.500
0.000 0.000 0.500
0.056 0.358 0.672
0.239 0.239 0.330
0.358 0.056 0.672
0.642 0.944 0.328
0.761 0.761 0.670
0.944 0.642 0.328

Cd8PdAu6 | Alexandria | PBE-GGA | relaxed; symmetry = R-3, No. 148; E_form = -157 meV/atom
1.0
4.065 2.347 5.676
-4.065 2.347 5.676
0.000 -4.694 5.676
Cd Pd Au
8 1 6
Direct
0.066 0.704 0.380
0.162 0.162 0.162
0.296 0.620 0.934
0.380 0.066 0.704
0.620 0.934 0.296
0.704 0.380 0.066
0.838 0.838 0.838
0.934 0.296 0.620
0.500 0.500 0.500
0.111 0.450 0.779
0.221 0.889 0.550
0.450 0.779 0.111
0.550 0.221 0.889
0.779 0.111 0.450
0.889 0.550 0.221

TlPIr | Alexandria | PBE-GGA | relaxed; symmetry = P4/nmm, No. 129; E_form = -245 meV/atom
1.0
3.981 0.000 0.000
0.000 3.981 0.000
0.000 0.000 8.210
Tl P Ir
2 2 2
Direct
0.250 0.250 0.139
0.750 0.750 0.861
0.250 0.250 0.659
0.750 0.750 0.341
0.250 0.750 0.500
0.750 0.250 0.500

Number 1: total DFT energy (no corrections) -2.31 eV per atom. Number 2: total DFT energy (no corrections) -7.75 eV per atom. Number 3: total DFT energy (no corrections) -4.83 eV per atom. Number 4: total DFT energy (no corrections) -3.86 eV per atom. Number 5: total DFT energy (no corrections) -6.31 eV per atom. Number 6: total DFT energy (no corrections) -5.44 eV per atom. Number 7: total DFT energy (no corrections) -2.30 eV per atom. Number 8: total DFT energy (no corrections) -5.79 eV per atom.